A crystal of LiMoAs2Pb relaxed with PBEsol. Source: Alexandria, functional meta-GGA SCAN.

```
data_LiMoAs2Pb
_cell_length_a 4.462
_cell_length_b 4.462
_cell_length_c 4.744
_cell_angle_alpha 90.00
_cell_angle_beta 90.00
_cell_angle_gamma 90.00
_symmetry_space_group_name_H-M 'P 4/m m m'
_symmetry_Int_Tables_number 123
_symmetry_space_group_name_Hall '-P 4 2'
loop_
_atom_site_label
_atom_site_fract_x
_atom_site_fract_y
_atom_site_fract_z
Li1 0.000 0.000 0.000
Mo1 0.000 0.000 0.500
As1 0.000 0.500 0.000
Pb1 0.500 0.500 0.500
```

Results
**Calculated formation energy**: 0.7692 eV per atom
**Volume**: 18.89 Å³/atom
**Uncorrected energy**: -29.918 eV/atom


A crystal of LiTeAsN2 relaxed with PBEsol. Source: Alexandria, functional meta-GGA SCAN.

```
data_LiTeAsN2
_cell_length_a 3.983
_cell_length_b 3.983
_cell_length_c 4.824
_cell_angle_alpha 90.00
_cell_angle_beta 90.00
_cell_angle_gamma 90.00
_symmetry_space_group_name_H-M 'P 4/m m m'
_symmetry_Int_Tables_number 123
_symmetry_space_group_name_Hall '-P 4 2'
loop_
_atom_site_label
_atom_site_fract_x
_atom_site_fract_y
_atom_site_fract_z
Li1 0.000 0.000 0.000
Te1 0.000 0.000 0.500
As1 0.500 0.500 0.500
N1 0.000 0.500 0.000
```

Results
**Volume**: 15.30 Å³/atom
**Uncorrected energy**: -14.119 eV/atom
**E_form (uncorrected)**: 1564 meV/atom


A crystal of Na2LiAs2 relaxed with PBEsol. Source: Alexandria, functional meta-GGA SCAN.

```
data_Na2LiAs2
_cell_length_a 6.906
_cell_length_b 6.906
_cell_length_c 4.479
_cell_angle_alpha 90.00
_cell_angle_beta 90.00
_cell_angle_gamma 90.00
_symmetry_space_group_name_H-M 'P 4/m b m'
_symmetry_Int_Tables_number 127
_symmetry_space_group_name_Hall '-P 4 2ab'
loop_
_atom_site_label
_atom_site_fract_x
_atom_site_fract_y
_atom_site_fract_z
Na1 0.172 0.328 0.000
Li1 0.000 0.000 0.500
As1 0.124 0.624 0.500
```

Results
**Calculated formation energy**: -0.5114 eV per atom
**Volume**: 21.36 Å³/atom
**Uncorrected energy**: -10.752 eV/atom


A crystal of NaLi3As relaxed with PBEsol. Source: Alexandria, functional meta-GGA SCAN.

```
data_NaLi3As
_cell_length_a 4.877
_cell_length_b 4.877
_cell_length_c 4.877
_cell_angle_alpha 90.00
_cell_angle_beta 90.00
_cell_angle_gamma 90.00
_symmetry_space_group_name_H-M 'P m -3 m'
_symmetry_Int_Tables_number 221
_symmetry_space_group_name_Hall '-P 4 2 3'
loop_
_atom_site_label
_atom_site_fract_x
_atom_site_fract_y
_atom_site_fract_z
Na1 0.000 0.000 0.000
Li1 0.000 0.500 0.500
As1 0.500 0.500 0.500
```

Results
**Calculated formation energy**: -0.4094 eV per atom
**Volume**: 23.20 Å³/atom
**Uncorrected energy**: -6.724 eV/atom


A crystal of Na2LiAsPd relaxed with PBEsol. Source: Alexandria, functional meta-GGA SCAN.

```
data_Na2LiAsPd
_cell_length_a 5.362
_cell_length_b 5.362
_cell_length_c 4.655
_cell_angle_alpha 90.00
_cell_angle_beta 90.00
_cell_angle_gamma 90.00
_symmetry_space_group_name_H-M 'P 4/m m m'
_symmetry_Int_Tables_number 123
_symmetry_space_group_name_Hall '-P 4 2'
loop_
_atom_site_label
_atom_site_fract_x
_atom_site_fract_y
_atom_site_fract_z
Na1 0.000 0.500 0.000
Li1 0.000 0.000 0.500
As1 0.000 0.000 0.000
Pd1 0.500 0.500 0.500
```

Results
**Calculated formation energy**: 0.1609 eV per atom
**Volume**: 26.77 Å³/atom
**Uncorrected energy**: -12.596 eV/atom


A crystal of NaLiAsSe2 relaxed with PBEsol. Source: Alexandria, functional meta-GGA SCAN.

```
data_NaLiAsSe2
_cell_length_a 4.831
_cell_length_b 4.831
_cell_length_c 4.475
_cell_angle_alpha 90.00
_cell_angle_beta 90.00
_cell_angle_gamma 90.00
_symmetry_space_group_name_H-M 'P 4/m m m'
_symmetry_Int_Tables_number 123
_symmetry_space_group_name_Hall '-P 4 2'
loop_
_atom_site_label
_atom_site_fract_x
_atom_site_fract_y
_atom_site_fract_z
Na1 0.000 0.000 0.000
Li1 0.500 0.500 0.500
As1 0.500 0.500 0.000
Se1 0.000 0.500 0.500
```

Results
**Volume**: 20.89 Å³/atom
**Uncorrected energy**: -13.478 eV/atom
**E_form (uncorrected)**: -88 meV/atom